Entry 1:
Compound: HfOs
Source: Alexandria via LeMat-Bulk
Functional: PBE
Structure: optimized geometry

## Properties
Fermi-level density of states (states/eV per atom): 0.76
Magnetization (μB/atom): 0.00
Total DFT energy (no corrections) (eV/atom): -9.3551

abc: 5.9298 5.9298 5.9298
angles: 90.00 90.00 90.00
Last column: nearest neighbours and their distance in Å.
Space group F-43m (No. 216)
Asymmetric unit:
Hf (0.0000, 0.0000, 0.0000) x4  4 Os 2.57
Os (0.2500, 0.2500, 0.7500) x4  4 Hf 2.57



Entry 2:
Compound: Hf4Os
Source: Alexandria via LeMat-Bulk
Functional: PBE
Structure: optimized geometry

## Properties
ΔE to the lowest computed polymorph (kJ per mole of atoms): 52.51
Fermi-level density of states (states/eV per atom): 1.44
Magnetization (μB/atom): 0.00
Total DFT energy (no corrections) (eV/atom): -9.7375

abc: 4.9912 4.9912 4.9912
angles: 90.00 90.00 90.00
Last column: nearest neighbours and their distance in Å.
Space group Pm-3m (No. 221)
Asymmetric unit:
Hf (0.0000, 0.0000, 0.0000) x1  12 Hf 3.53
Hf (0.0000, 0.5000, 0.5000) x3  2 Os 2.50
Os (0.5000, 0.5000, 0.5000) x1  6 Hf 2.50



Entry 3:
Compound: HfOs
Source: Alexandria via LeMat-Bulk
Functional: PBE
Structure: optimized geometry

## Properties
Fermi-level density of states (states/eV per atom): 0.94
Magnetization (μB/atom): 0.00
Total DFT energy (no corrections) (eV/atom): -10.7698

abc: 8.0460 8.0460 4.5686
angles: 90.00 90.00 90.00
Last column: nearest neighbours and their distance in Å.
Space group P4/mnc (No. 128)
Asymmetric unit:
Hf (0.0254, 0.2976, 0.0000) x8  6 Os 2.70-3.01
Os (0.1199, 0.8087, 0.5000) x8  2 Os 2.57, 4 Hf 2.70-2.86



Entry 4:
Compound: HfOs
Source: Alexandria via LeMat-Bulk
Functional: PBE
Structure: optimized geometry

## Properties
Fermi-level density of states (states/eV per atom): 0.27
Magnetization (μB/atom): 0.00
Total DFT energy (no corrections) (eV/atom): -9.1974

abc: 7.2682 7.2682 7.2682
angles: 90.00 90.00 90.00
Last column: nearest neighbours and their distance in Å.
Space group Pm-3n (No. 223)
Asymmetric unit:
Hf (0.0000, 0.2500, 0.5000) x6  4 Os 2.57
Os (0.0000, 0.5000, 0.2500) x6  4 Hf 2.57



Entry 5:
Compound: HfOs
Source: Alexandria via LeMat-Bulk
Functional: PBE
Structure: optimized geometry

## Properties
Fermi-level density of states (states/eV per atom): 0.68
Magnetization (μB/atom): 0.00
Total DFT energy (no corrections) (eV/atom): -10.7283

abc: 8.1581 8.1581 4.4976
angles: 90.00 90.00 90.00
Last column: nearest neighbours and their distance in Å.
Space group I4/m (No. 87)
Asymmetric unit:
Hf (0.0071, 0.7028, 0.0000) x8  6 Os 2.72-2.95
Os (0.1437, 0.8298, 0.5000) x8  2 Os 2.57, 4 Hf 2.72-2.86



Entry 6:
Compound: Hf4Os
Source: Alexandria via LeMat-Bulk
Functional: PBE
Structure: optimized geometry

## Properties
ΔE to the lowest computed polymorph (kJ per mole of atoms): 0.00
Fermi-level density of states (states/eV per atom): 0.96
Magnetization (μB/atom): 0.00
Total DFT energy (no corrections) (eV/atom): -10.2817

abc: 10.8272 13.1741 5.8664
angles: 90.00 90.00 90.00
Last column: nearest neighbours and their distance in Å.
Space group Fdd2 (No. 43)
Asymmetric unit:
Hf (0.0749, 0.3909, 0.0000) x16  2 Os 2.80-2.89, 6 Hf 2.93-3.11
Hf (0.0765, 0.3083, 0.4770) x16  2 Os 2.69-2.78, 2 Hf 2.93-3.00
Os (0.0000, 0.0000, 0.9038) x8  8 Hf 2.69-2.89



Entry 7:
Compound: Hf3Os
Source: Alexandria via LeMat-Bulk
Functional: PBE
Structure: optimized geometry

## Properties
Fermi-level density of states (states/eV per atom): 0.74
Magnetization (μB/atom): 0.00
Total DFT energy (no corrections) (eV/atom): -10.1639

abc: 3.1411 3.2138 8.6766
angles: 90.00 90.00 90.00
Last column: nearest neighbours and their distance in Å.
Space group Pmm2 (No. 25)
Asymmetric unit:
Hf (0.0000, 0.0000, 0.0000) x1  10 Hf 3.10-3.32
Hf (0.0000, 0.5000, 0.3355) x1  4 Os 2.67
Hf (0.5000, 0.5000, 0.7533) x1  2 Os 2.71
Os (0.5000, 0.0000, 0.5022) x1  6 Hf 2.67-2.71



Entry 8:
Compound: HfOs2
Source: Alexandria via LeMat-Bulk
Functional: PBE
Structure: optimized geometry

## Properties
Fermi-level density of states (states/eV per atom): 0.75
Magnetization (μB/atom): 0.00
Total DFT energy (no corrections) (eV/atom): -11.2115

abc: 5.2115 5.2115 8.5480
angles: 90.00 90.00 120.00
Last column: nearest neighbours and their distance in Å.
Space group P6_3/mmc (No. 194)
Asymmetric unit:
Hf (0.3333, 0.6667, 0.0665) x4  12 Os 3.04-3.07, 4 Hf 3.14-3.22
Os (0.0000, 0.0000, 0.0000) x2  6 Os 2.65
Os (0.1728, 0.3456, 0.7500) x6  6 Os 2.51-2.70